w) Material: NaPd2F4
Method: DFT, PBE
State: relaxed

Computed properties:
* D(E_F): 0.3746 states/eV/atom

Lattice parameters (Å, degrees): 4.215 4.221 5.689 95.60 95.22 90.22
Fractional positions:
Na (0.000, 0.000, 0.000)
Pd (0.479, 0.478, 0.740)
Pd (0.521, 0.522, 0.260)
F (0.019, 0.522, 0.239)
F (0.479, 0.980, 0.761)
F (0.521, 0.020, 0.239)
F (0.981, 0.478, 0.761)



x) Material: NaPd2F4
Method: DFT, PBE
State: relaxed

Computed properties:
* D(E_F): 1.1583 states/eV/atom

Lattice parameters (Å, degrees): 6.278 6.278 6.278 138.89 138.89 59.54
Fractional positions:
Na (0.000, 0.000, 0.000)
Pd (0.390, 0.390, 0.000)
Pd (0.610, 0.610, 0.000)
F (0.000, 0.500, 0.500)
F (0.205, 0.205, 0.000)
F (0.500, 0.000, 0.500)
F (0.795, 0.795, 0.000)



Most stable structure, least stable structure: w), x).



w) Material: Na3PdF
Method: DFT, PBE
State: relaxed

Computed properties:
* D(E_F): 0.0503 states/eV/atom

Lattice parameters (Å, degrees): 4.594 4.594 4.594 90.00 90.00 90.00
Fractional positions:
Na (0.000, 0.000, 0.500)
Na (0.000, 0.500, 0.000)
Na (0.500, 0.000, 0.000)
Pd (0.500, 0.500, 0.500)
F (0.000, 0.000, 0.000)



x) Material: Na3PdF
Method: DFT, PBE
State: relaxed

Computed properties:
* D(E_F): 0.0000 states/eV/atom

Lattice parameters (Å, degrees): 5.400 5.400 5.400 90.00 90.00 90.00
Fractional positions:
Na (0.000, 0.000, 0.500)
Na (0.000, 0.500, 0.000)
Na (0.500, 0.000, 0.000)
Pd (0.000, 0.000, 0.000)
F (0.500, 0.500, 0.500)



Most stable structure, least stable structure: w), x).



w) Material: Na2Pd2F7
Method: DFT, PBE
State: relaxed

Computed properties:
* D(E_F): 0.2548 states/eV/atom

Lattice parameters (Å, degrees): 7.094 7.094 4.535 106.73 106.73 119.39
Fractional positions:
Na (0.188, 0.812, 0.000)
Na (0.812, 0.188, 0.000)
Pd (0.297, 0.297, 0.684)
Pd (0.703, 0.703, 0.316)
F (0.090, 0.090, 0.844)
F (0.117, 0.437, 0.665)
F (0.437, 0.117, 0.665)
F (0.500, 0.500, 0.500)
F (0.563, 0.883, 0.335)
F (0.883, 0.563, 0.335)
F (0.910, 0.910, 0.156)



x) Material: Na2Pd2F7
Method: DFT, PBE
State: relaxed

Computed properties:
* D(E_F): 0.3108 states/eV/atom

Lattice parameters (Å, degrees): 5.503 11.259 5.975 90.00 99.45 90.00
Fractional positions:
Na (0.142, 0.132, 0.152)
Na (0.142, 0.368, 0.652)
Na (0.858, 0.632, 0.348)
Na (0.858, 0.868, 0.848)
Pd (0.358, 0.658, 0.871)
Pd (0.358, 0.842, 0.371)
Pd (0.642, 0.158, 0.629)
Pd (0.642, 0.342, 0.129)
F (0.089, 0.568, 0.691)
F (0.089, 0.932, 0.191)
F (0.211, 0.694, 0.225)
F (0.211, 0.806, 0.725)
F (0.365, 0.248, 0.449)
F (0.365, 0.252, 0.949)
F (0.500, 0.000, 0.500)
F (0.500, 0.500, 0.000)
F (0.635, 0.748, 0.051)
F (0.635, 0.752, 0.551)
F (0.789, 0.194, 0.275)
F (0.789, 0.306, 0.775)
F (0.911, 0.068, 0.809)
F (0.911, 0.432, 0.309)



Most stable structure, least stable structure: x), w).



w) Material: Na2PdF5
Method: DFT, PBE
State: relaxed

Computed properties:
* D(E_F): 0.1738 states/eV/atom

Lattice parameters (Å, degrees): 5.642 5.642 4.137 90.00 90.00 90.00
Fractional positions:
Na (0.000, 0.500, 0.000)
Na (0.500, 0.000, 0.000)
Pd (0.000, 0.000, 0.500)
F (0.000, 0.000, 0.000)
F (0.248, 0.248, 0.500)
F (0.248, 0.752, 0.500)
F (0.752, 0.248, 0.500)
F (0.752, 0.752, 0.500)



x) Material: Na2PdF5
Method: DFT, PBE
State: relaxed

Computed properties:
* D(E_F): 0.2052 states/eV/atom

Lattice parameters (Å, degrees): 4.415 5.723 5.962 69.98 68.34 67.32
Fractional positions:
Na (0.204, 0.344, 0.250)
Na (0.796, 0.656, 0.750)
Pd (0.000, 0.000, 0.000)
F (0.046, 0.240, 0.668)
F (0.228, 0.686, 0.858)
F (0.500, 0.000, 0.000)
F (0.772, 0.314, 0.142)
F (0.954, 0.760, 0.332)



Most stable structure, least stable structure: x), w).



w) Material: NaPm2F6
Method: DFT, PBE
State: relaxed

Computed properties:
* D(E_F): 0.2112 states/eV/atom

Lattice parameters (Å, degrees): 9.163 9.163 9.163 155.26 155.26 35.27
Fractional positions:
Na (0.000, 0.000, 0.000)
Pm (0.341, 0.341, 0.000)
Pm (0.659, 0.659, 0.000)
F (0.085, 0.585, 0.500)
F (0.250, 0.750, 0.500)
F (0.415, 0.915, 0.500)
F (0.585, 0.085, 0.500)
F (0.750, 0.250, 0.500)
F (0.915, 0.415, 0.500)



x) Material: NaPm2F6
Method: DFT, PBE
State: relaxed

Computed properties:
* D(E_F): 0.0752 states/eV/atom

Lattice parameters (Å, degrees): 6.081 6.361 9.806 90.00 122.88 90.00
Fractional positions:
Na (0.000, 0.000, 0.000)
Na (0.000, 0.500, 0.500)
Pm (0.273, 0.014, 0.765)
Pm (0.273, 0.486, 0.265)
Pm (0.727, 0.514, 0.735)
Pm (0.727, 0.986, 0.235)
F (0.012, 0.186, 0.202)
F (0.012, 0.314, 0.702)
F (0.349, 0.144, 0.010)
F (0.349, 0.356, 0.510)
F (0.369, 0.706, 0.684)
F (0.369, 0.794, 0.184)
F (0.631, 0.206, 0.816)
F (0.631, 0.294, 0.316)
F (0.651, 0.644, 0.490)
F (0.651, 0.856, 0.990)
F (0.988, 0.686, 0.298)
F (0.988, 0.814, 0.798)



Most stable structure, least stable structure: w), x).



w) Material: NaPm2F8
Method: DFT, PBE
State: relaxed

Computed properties:
* D(E_F): 0.4821 states/eV/atom

Lattice parameters (Å, degrees): 7.252 7.252 5.783 113.20 113.20 31.51
Fractional positions:
Na (0.000, 0.000, 0.000)
Pm (0.332, 0.332, 0.325)
Pm (0.668, 0.668, 0.675)
F (0.099, 0.099, 0.441)
F (0.175, 0.175, 0.951)
F (0.286, 0.286, 0.675)
F (0.481, 0.481, 0.246)
F (0.519, 0.519, 0.754)
F (0.714, 0.714, 0.325)
F (0.825, 0.825, 0.049)
F (0.901, 0.901, 0.559)



x) Material: NaPm2F8
Method: DFT, PBE
State: relaxed

Computed properties:
* D(E_F): 0.3063 states/eV/atom

Lattice parameters (Å, degrees): 6.587 6.587 7.082 105.42 105.42 36.59
Fractional positions:
Na (0.000, 0.000, 0.000)
Pm (0.230, 0.230, 0.738)
Pm (0.770, 0.770, 0.262)
F (0.056, 0.056, 0.718)
F (0.223, 0.223, 0.084)
F (0.300, 0.300, 0.456)
F (0.423, 0.423, 0.881)
F (0.577, 0.577, 0.119)
F (0.700, 0.700, 0.544)
F (0.777, 0.777, 0.916)
F (0.944, 0.944, 0.282)



Most stable structure, least stable structure: w), x).



w) Material: Na2PmF6
Method: DFT, PBE
State: relaxed

Computed properties:
* D(E_F): 0.4185 states/eV/atom

Lattice parameters (Å, degrees): 7.014 7.014 7.014 146.91 136.28 55.91
Fractional positions:
Na (0.172, 0.172, 0.000)
Na (0.828, 0.828, 0.000)
Pm (0.500, 0.500, 0.000)
F (0.097, 0.340, 0.757)
F (0.256, 0.000, 0.256)
F (0.416, 0.660, 0.757)
F (0.584, 0.340, 0.243)
F (0.744, 0.000, 0.744)
F (0.903, 0.660, 0.243)



x) Material: Na2PmF6
Method: DFT, PBE
State: relaxed

Computed properties:
* D(E_F): 0.6635 states/eV/atom

Lattice parameters (Å, degrees): 7.453 7.453 4.334 106.90 106.90 33.81
Fractional positions:
Na (0.250, 0.250, 0.250)
Na (0.750, 0.750, 0.750)
Pm (0.000, 0.000, 0.500)
F (0.082, 0.082, 0.082)
F (0.198, 0.198, 0.698)
F (0.418, 0.418, 0.416)
F (0.582, 0.582, 0.584)
F (0.802, 0.802, 0.302)
F (0.918, 0.918, 0.918)



Most stable structure, least stable structure: w), x).



w) Material: NaPrF
Method: DFT, PBE
State: relaxed

Computed properties:
* D(E_F): 0.2666 states/eV/atom

Lattice parameters (Å, degrees): 4.094 4.094 13.109 99.81 99.81 60.10
Fractional positions:
Na (0.129, 0.129, 0.381)
Na (0.871, 0.871, 0.619)
Pr (0.378, 0.378, 0.132)
Pr (0.622, 0.622, 0.868)
F (0.285, 0.285, 0.858)
F (0.715, 0.715, 0.142)



x) Material: NaPrF
Method: DFT, PBE
State: relaxed

Computed properties:
* D(E_F): 0.8302 states/eV/atom

Lattice parameters (Å, degrees): 3.481 3.481 6.700 90.00 90.00 120.00
Fractional positions:
Na (0.000, 0.000, 0.000)
Pr (0.333, 0.667, 0.500)
F (0.667, 0.333, 0.227)



Most stable structure, least stable structure: w), x).